# 1
Density functional theory data (PBE) for a geometry-optimized MgNi2Ag structure.

Computed properties:
spin magnetization: 0.00 μB/cell
E_form: 0.06 eV/atom
E: -3.947 eV per atom

```
data_MgNi2Ag
_cell_length_a 2.7970
_cell_length_b 4.1202
_cell_length_c 5.1957
_cell_angle_alpha 90.00
_cell_angle_beta 105.36
_cell_angle_gamma 90.00
_symmetry_space_group_name_H-M 'P 1 m 1'
_symmetry_Int_Tables_number 6
_symmetry_space_group_name_Hall 'P -2y'
loop_
_atom_site_label
_atom_site_type_symbol
_atom_site_fract_x
_atom_site_fract_y
_atom_site_fract_z
Mg1 Mg 0.0000 0.0000 0.0000
Ni1 Ni 0.6127 0.5000 0.2147
Ni2 Ni 0.7125 0.0000 0.4551
Ag1 Ag 0.3334 0.5000 0.6802
```

# 2
Density functional theory data (PBE) for a geometry-optimized Mg6NiAg5 structure.

Computed properties:
spin magnetization: 0.00 μB/cell
E_form: -0.21 eV/atom
E: -2.680 eV per atom

```
data_Mg6NiAg5
_cell_length_a 4.6216
_cell_length_b 6.7260
_cell_length_c 13.8099
_cell_angle_alpha 90.00
_cell_angle_beta 90.00
_cell_angle_gamma 90.00
_symmetry_space_group_name_H-M 'I m m m'
_symmetry_Int_Tables_number 71
_symmetry_space_group_name_Hall '-I 2 2'
loop_
_atom_site_label
_atom_site_type_symbol
_atom_site_fract_x
_atom_site_fract_y
_atom_site_fract_z
Mg1 Mg 0.0000 0.2317 0.0000
Mg2 Mg 0.0000 0.2596 0.3401
Ni1 Ni 0.0000 0.5000 0.5000
Ag1 Ag 0.0000 0.0000 0.1723
Ag2 Ag 0.0000 0.0000 0.5000
Ag3 Ag 0.0000 0.5000 0.1663
```

# 3
Density functional theory data (PBE) for a geometry-optimized Mg2NiAg2 structure.

Computed properties:
spin magnetization: 0.00 μB/cell
E_form: 0.05 eV/atom
E: -2.885 eV per atom

```
data_Mg2NiAg2
_cell_length_a 6.7342
_cell_length_b 6.7342
_cell_length_c 4.0411
_cell_angle_alpha 90.00
_cell_angle_beta 90.00
_cell_angle_gamma 90.00
_symmetry_space_group_name_H-M 'P 4/m b m'
_symmetry_Int_Tables_number 127
_symmetry_space_group_name_Hall '-P 4 2ab'
loop_
_atom_site_label
_atom_site_type_symbol
_atom_site_fract_x
_atom_site_fract_y
_atom_site_fract_z
Mg1 Mg 0.1696 0.3304 0.0000
Ni1 Ni 0.0000 0.0000 0.5000
Ag1 Ag 0.1425 0.6425 0.5000
```

# 4
Density functional theory data (PBE) for a geometry-optimized MgNi2Ag structure.

Computed properties:
spin magnetization: 0.49 μB/cell
E_form: 0.03 eV/atom
E: -3.970 eV per atom

```
data_MgNi2Ag
_cell_length_a 9.5358
_cell_length_b 2.9358
_cell_length_c 4.4248
_cell_angle_alpha 90.00
_cell_angle_beta 112.78
_cell_angle_gamma 90.00
_symmetry_space_group_name_H-M 'C 1 m 1'
_symmetry_Int_Tables_number 8
_symmetry_space_group_name_Hall 'C -2y'
loop_
_atom_site_label
_atom_site_type_symbol
_atom_site_fract_x
_atom_site_fract_y
_atom_site_fract_z
Mg1 Mg 0.0000 0.0000 0.0000
Ni1 Ni 0.2559 0.5000 0.2073
Ni2 Ni 0.4701 0.0000 0.4760
Ag1 Ag 0.2271 0.0000 0.6829
```

# 5
Density functional theory data (PBE) for a geometry-optimized MgNiAg structure.

Computed properties:
spin magnetization: 0.00 μB/cell
E_form: -0.04 eV/atom
E: -3.447 eV per atom

```
data_MgNiAg
_cell_length_a 3.0088
_cell_length_b 3.0088
_cell_length_c 10.3148
_cell_angle_alpha 90.00
_cell_angle_beta 90.00
_cell_angle_gamma 90.00
_symmetry_space_group_name_H-M 'I 4 m m'
_symmetry_Int_Tables_number 107
_symmetry_space_group_name_Hall 'I 4 -2'
loop_
_atom_site_label
_atom_site_type_symbol
_atom_site_fract_x
_atom_site_fract_y
_atom_site_fract_z
Mg1 Mg 0.0000 0.0000 0.0000
Ni1 Ni 0.0000 0.0000 0.3513
Ag1 Ag 0.0000 0.0000 0.6902
```

# 6
Density functional theory data (PBE) for a geometry-optimized MgNi2Ag structure.

Computed properties:
spin magnetization: 0.72 μB/cell
E_form: 0.01 eV/atom
E: -3.989 eV per atom

```
data_MgNi2Ag
_cell_length_a 3.0144
_cell_length_b 3.0144
_cell_length_c 6.3437
_cell_angle_alpha 90.00
_cell_angle_beta 90.00
_cell_angle_gamma 90.00
_symmetry_space_group_name_H-M 'P 4 m m'
_symmetry_Int_Tables_number 99
_symmetry_space_group_name_Hall 'P 4 -2'
loop_
_atom_site_label
_atom_site_type_symbol
_atom_site_fract_x
_atom_site_fract_y
_atom_site_fract_z
Mg1 Mg 0.0000 0.0000 0.0000
Ni1 Ni 0.0000 0.0000 0.4330
Ni2 Ni 0.5000 0.5000 0.2518
Ag1 Ag 0.5000 0.5000 0.6962
```

# 7
Density functional theory data (PBE) for a geometry-optimized MgNi2Ag structure.

Computed properties:
spin magnetization: 0.00 μB/cell
E_form: 0.04 eV/atom
E: -3.959 eV per atom

```
data_MgNi2Ag
_cell_length_a 6.0841
_cell_length_b 6.0841
_cell_length_c 6.0841
_cell_angle_alpha 90.00
_cell_angle_beta 90.00
_cell_angle_gamma 90.00
_symmetry_space_group_name_H-M 'F -4 3 m'
_symmetry_Int_Tables_number 216
_symmetry_space_group_name_Hall 'F -4 2 3'
loop_
_atom_site_label
_atom_site_type_symbol
_atom_site_fract_x
_atom_site_fract_y
_atom_site_fract_z
Mg1 Mg 0.0000 0.0000 0.0000
Ni1 Ni 0.0000 0.0000 0.5000
Ni2 Ni 0.2500 0.2500 0.2500
Ag1 Ag 0.2500 0.2500 0.7500
```

# 8
Density functional theory data (PBE) for a geometry-optimized MgNi2Ag structure.

Computed properties:
spin magnetization: 0.00 μB/cell
E_form: 0.05 eV/atom
E: -3.951 eV per atom

```
data_MgNi2Ag
_cell_length_a 2.8005
_cell_length_b 3.6858
_cell_length_c 5.4777
_cell_angle_alpha 90.00
_cell_angle_beta 90.00
_cell_angle_gamma 90.00
_symmetry_space_group_name_H-M 'P m m m'
_symmetry_Int_Tables_number 47
_symmetry_space_group_name_Hall '-P 2 2'
loop_
_atom_site_label
_atom_site_type_symbol
_atom_site_fract_x
_atom_site_fract_y
_atom_site_fract_z
Mg1 Mg 0.0000 0.0000 0.0000
Ni1 Ni 0.5000 0.5000 0.2420
Ag1 Ag 0.0000 0.0000 0.5000
```

Q: What is the E_form in the seventh record?
A: 0.04 eV/atom

Copy entry 4 word for word.
Density functional theory data (PBE) for a geometry-optimized MgNi2Ag structure.

Computed properties:
spin magnetization: 0.49 μB/cell
E_form: 0.03 eV/atom
E: -3.970 eV per atom

```
data_MgNi2Ag
_cell_length_a 9.5358
_cell_length_b 2.9358
_cell_length_c 4.4248
_cell_angle_alpha 90.00
_cell_angle_beta 112.78
_cell_angle_gamma 90.00
_symmetry_space_group_name_H-M 'C 1 m 1'
_symmetry_Int_Tables_number 8
_symmetry_space_group_name_Hall 'C -2y'
loop_
_atom_site_label
_atom_site_type_symbol
_atom_site_fract_x
_atom_site_fract_y
_atom_site_fract_z
Mg1 Mg 0.0000 0.0000 0.0000
Ni1 Ni 0.2559 0.5000 0.2073
Ni2 Ni 0.4701 0.0000 0.4760
Ag1 Ag 0.2271 0.0000 0.6829
```